The following is a DFT calculation (PBE-GGA) of an optimized crystal structure of Dy8Er2Zn.

Calculated values
The volume comes out at 328.6 Å³/cell. Its total energy is -4.31 eV per atom. The value obtained for the formation enthalpy at 0 K is -22 meV/atom.

a b c (Å): 5.4764 6.3631 9.8360
angles (deg): 93.33 106.16 90.00
With the nearest neighbours (Å) after each atom.
Element x y z (fractional)
Dy1 0.1567 0.8086 0.3134  6 Dy 3.33-3.67, 4 Er 3.50-3.59
Dy2 0.0417 0.2532 0.0834  2 Zn 3.25, 6 Dy 3.50-3.62
Dy3 0.5788 0.6060 0.1576  1 Zn 2.99, 3 Dy 3.19-3.33
Dy4 0.9583 0.7468 0.9166  2 Zn 3.25, 6 Dy 3.50-3.62
Dy5 0.8433 0.1914 0.6866  6 Dy 3.33-3.67, 4 Er 3.50-3.59
Dy6 0.6558 0.1201 0.3116  1 Zn 3.00
Dy7 0.3442 0.8799 0.6884  1 Zn 3.00
Dy8 0.4212 0.3940 0.8424  1 Zn 2.99, 3 Dy 3.19-3.33
Er1 0.2394 0.3317 0.4789  9 Dy 3.40-3.74, 2 Er 3.48
Er2 0.7606 0.6683 0.5211  9 Dy 3.40-3.74, 2 Er 3.48
Zn1 0.5000 0.0000 0.0000  8 Dy 2.99-3.25

The following is a DFT calculation (PBE-GGA) of an optimized crystal structure of DyErZn2.

Calculated values
The volume comes out at 98.8 Å³/cell. Its total energy is -3.06 eV per atom. The value obtained for the formation enthalpy at 0 K is -131 meV/atom.

a b c (Å): 3.5774 3.5774 9.1498
angles (deg): 78.73 78.73 60.00
With the nearest neighbours (Å) after each atom.
Element x y z (fractional)
Zn1 0.2507 0.2507 0.2480  3 Er 3.03, 3 Dy 3.05
Zn2 0.7493 0.7493 0.7520  3 Er 3.03, 3 Dy 3.05
Er1 0.0000 0.0000 0.0000  6 Zn 3.03
Dy1 0.5000 0.5000 0.5000  6 Zn 3.05

The following is a DFT calculation (PBE-GGA) of an optimized crystal structure of DyErZn4.

Calculated values
The volume comes out at 137.0 Å³/cell. Its total energy is -2.36 eV per atom. The distance to the lowest polymorph of the same formula is 0.3977 eV per atom. The value obtained for the formation enthalpy at 0 K is 20 meV/atom.

a b c (Å): 3.7227 3.8070 9.6700
angles (deg): 89.89 89.97 90.00
With the nearest neighbours (Å) after each atom.
Element x y z (fractional)
Zn1 0.5010 0.9973 0.7481  4 Zn 2.66
Zn2 0.0014 0.4973 0.7451  4 Zn 2.66
Zn3 0.0013 0.4979 0.2513  4 Zn 2.66-2.67
Zn4 0.5012 0.9967 0.2481  4 Zn 2.66-2.67
Er1 0.0010 0.9983 0.4982  8 Zn 3.05-3.06
Dy1 0.5019 0.4963 0.9981  8 Zn 3.07-3.08

The following is a DFT calculation (PBE-GGA) of an optimized crystal structure of Dy2ErZn4.

Calculated values
The volume comes out at 163.0 Å³/cell. Its total energy is -2.85 eV per atom. The value obtained for the formation enthalpy at 0 K is -160 meV/atom.

a b c (Å): 5.1234 5.1234 7.1877
angles (deg): 110.88 110.88 90.00
With the nearest neighbours (Å) after each atom.
Element x y z (fractional)
Er1 0.0000 0.0000 0.0000  8 Zn 2.90
Zn1 0.6095 0.1095 0.2189  1 Zn 2.72, 2 Er 2.90, 2 Dy 2.94
Zn2 0.1095 0.6095 0.2189  1 Zn 2.72, 2 Er 2.90, 2 Dy 2.94
Zn3 0.8905 0.3905 0.7811  1 Zn 2.72, 2 Er 2.90, 2 Dy 2.94
Zn4 0.3905 0.8905 0.7811  1 Zn 2.72, 2 Er 2.90, 2 Dy 2.94
Dy1 0.2749 0.2749 0.5498  8 Zn 2.94-3.28
Dy2 0.7251 0.7251 0.4502  8 Zn 2.94-3.28

The following is a DFT calculation (PBE-GGA) of an optimized crystal structure of Dy2ErZn3.

Calculated values
The volume comes out at 135.3 Å³/cell. Its total energy is -3.27 eV per atom. The value obtained for the formation enthalpy at 0 K is -343 meV/atom.

a b c (Å): 5.0320 5.0320 6.1689
angles (deg): 90.00 90.00 120.00
With the nearest neighbours (Å) after each atom.
Element x y z (fractional)
Dy1 0.6667 0.3333 0.3307  8 Zn 3.07-3.10
Dy2 0.3333 0.6667 0.6693  8 Zn 3.07-3.10
Er1 0.0000 0.0000 0.0000  8 Zn 3.08
Zn1 0.0000 0.0000 0.5000  2 Er 3.08, 6 Dy 3.09
Zn2 0.6667 0.3333 0.8331  5 Dy 3.07-3.10, 3 Er 3.08
Zn3 0.3333 0.6667 0.1669  5 Dy 3.07-3.10, 3 Er 3.08

The following is a DFT calculation (PBE-GGA) of an optimized crystal structure of Dy2ErZn.

Calculated values
The volume comes out at 120.0 Å³/cell. Its total energy is -3.51 eV per atom. The distance to the lowest polymorph of the same formula is 0.4137 eV per atom. The value obtained for the formation enthalpy at 0 K is 255 meV/atom.

a b c (Å): 3.4367 3.4367 11.8943
angles (deg): 81.69 81.69 60.00
With the nearest neighbours (Å) after each atom.
Element x y z (fractional)
Er1 0.5000 0.5000 0.5000  6 Dy 3.44, 6 Er 3.44
Zn1 0.0000 0.0000 0.0000  2 Dy 3.06
Dy1 0.9131 0.9131 0.2607  1 Zn 3.06
Dy2 0.0869 0.0869 0.7393  1 Zn 3.06

> The lowest volume belongs to which entry?

DyErZn2